Record 1
Compound: YHoIr2C3
Source: OQMD
Functional: PBE-GGA
Structure: relaxed

Unit cell a=11.379 b=3.450 c=5.276 alpha=90.00 beta=104.86 gamma=90.00
Space group Cm (No. 8)
One atom of each set of equivalent atoms:
Y1 0.000 0.000 0.000 x2
Ho1 0.252 0.500 0.361 x2
Ir1 0.009 0.500 0.512 x2
Ir2 0.244 0.000 0.850 x2
C1 0.104 0.000 0.475 x2
C2 0.149 0.500 0.887 x2
C3 0.375 0.000 0.677 x2

## Properties
- Energy: -8.1925 eV per atom
- Total magnetic moment: 0.00 μB per cell


Record 2
Compound: MgNi2B
Source: OQMD
Functional: PBE-GGA
Structure: relaxed

Unit cell a=5.576 b=5.576 c=5.576 alpha=90.00 beta=90.00 gamma=90.00
Space group F-43m (No. 216)
One atom of each set of equivalent atoms:
Mg1 0.000 0.000 0.000 x4
Ni1 0.000 0.000 0.500 x4
Ni2 0.250 0.250 0.250 x4
B1 0.250 0.250 0.750 x4

## Properties
- Energy: -4.5730 eV per atom
- Total magnetic moment: 0.00 μB per cell


Record 3
Compound: NaTaZnPd
Source: OQMD
Functional: PBE-GGA
Structure: relaxed

Unit cell a=6.468 b=6.468 c=6.468 alpha=90.00 beta=90.00 gamma=90.00
Space group F-43m (No. 216)
One atom of each set of equivalent atoms:
Na1 0.000 0.000 0.000 x4
Ta1 0.000 0.000 0.500 x4
Zn1 0.250 0.250 0.750 x4
Pd1 0.250 0.250 0.250 x4

## Properties
- ΔE to the lowest computed polymorph: 0 meV per atom
- Total magnetic moment: 0.00 μB per cell


Record 4
Compound: GdSbN2O
Source: OQMD
Functional: PBE-GGA
Structure: relaxed

Unit cell a=3.701 b=3.755 c=5.015 alpha=90.00 beta=90.00 gamma=90.00
Space group Pmm2 (No. 25)
One atom of each set of equivalent atoms:
Gd1 0.000 0.000 0.000 x1
Sb1 0.500 0.500 0.460 x1
N1 0.000 0.500 0.296 x1
N2 0.500 0.500 0.851 x1
O1 0.500 0.000 0.294 x1

## Properties
- Energy: -6.9255 eV per atom
- Total magnetic moment: 0.00 μB per cell


Record 5
Compound: BaSmPO
Source: OQMD
Functional: PBE-GGA
Structure: relaxed

Unit cell a=5.634 b=5.634 c=6.120 alpha=90.00 beta=90.00 gamma=90.00
Space group P4/nmm (No. 129, origin choice 2)
One atom of each set of equivalent atoms:
Ba1 0.250 0.250 0.001 x2
Sm1 0.250 0.750 0.500 x2
P1 0.250 0.250 0.501 x2
O1 0.250 0.750 0.000 x2

## Properties
- ΔE to the lowest computed polymorph: 196 meV per atom
- Total magnetic moment: 0.00 μB per cell


Record 6
Compound: Al7Ni5
Source: OQMD
Functional: PBE-GGA
Structure: relaxed

Unit cell a=4.9906 b=4.9906 c=15.6305 alpha=90.00 beta=90.00 gamma=120.00
Space group P6_3/mmc (No. 194)
One atom of each set of equivalent atoms:
Al1 0.0000 0.0000 0.1144 x4
Al2 0.0000 0.5000 0.0000 x6
Al3 0.3333 0.6667 0.1384 x4
Ni1 0.1586 0.3173 0.2500 x6
Ni2 0.3333 0.6667 0.6346 x4

## Properties
- ΔE to the lowest computed polymorph: 148 meV per atom
- Total magnetic moment: 0.01 μB per cell